[1]
# MgAl2Cd | Alexandria | GGA-PBEsol | relaxed
# **Total DFT energy (no corrections)**: -2.7013 eV per atom
# **Fermi-level density of states**: 4.5 states/eV per cell
# **Total magnetic moment**: 0.0 Bohr magnetons per cell
# **Crystal system**: trigonal
# **Density**: 4.16 g/cm³
data_MgAl2Cd
_chemical_formula_sum 'Mg3 Al6 Cd3'
_symmetry_space_group_name_H-M 'R -3 m'
_symmetry_Int_Tables_number 166
_symmetry_space_group_name_Hall '-R 3 2"'
_cell_length_a 2.9765
_cell_length_b 2.9765
_cell_length_c 29.7832
_cell_angle_alpha 90.00
_cell_angle_beta 90.00
_cell_angle_gamma 120.00
loop_
_atom_site_label
_atom_site_type_symbol
_atom_site_fract_x
_atom_site_fract_y
_atom_site_fract_z
Mg1 Mg 0.0000 0.0000 0.0000
Al1 Al 0.0000 0.0000 0.2505
Cd1 Cd 0.0000 0.0000 0.5000

---

[2]
# LiAgF2 | Alexandria | GGA-PBEsol | relaxed
# **Offset from the most stable computed form**: 58 meV per atom
# **Total magnetic moment**: 0.0 Bohr magnetons per cell
# **Crystal system**: orthorhombic
# **ΔE_f (raw)**: -730 kJ/mol of formula units
# **Density**: 5.07 g/cm³
data_LiAgF2
_chemical_formula_sum 'Li2 Ag2 F4'
_symmetry_space_group_name_H-M 'P m n 21'
_symmetry_Int_Tables_number 31
_cell_length_a 3.020
_cell_length_b 6.740
_cell_length_c 4.920
_cell_angle_alpha 90.00
_cell_angle_beta 90.00
_cell_angle_gamma 90.00
loop_
_symmetry_equiv_pos_as_xyz
'x,y,z'
'-x+1/2,-y,z+1/2'
'-x,y,z'
'x+1/2,-y,z+1/2'
loop_
_atom_site_label
_atom_site_type_symbol
_atom_site_fract_x
_atom_site_fract_y
_atom_site_fract_z
Li1 Li 0.000 0.061 0.000
Ag1 Ag 0.000 0.405 0.427
F1 F 0.000 0.072 0.381
F2 F 0.000 0.326 0.914

---

[3]
# BeOsRu | Alexandria | GGA-PBEsol | relaxed
# **Total DFT energy (no corrections)**: -8.2990 eV per atom
# **Fermi-level density of states**: 4.9 states/eV per cell
# **Total magnetic moment**: 0.0 Bohr magnetons per cell
# **Crystal system**: cubic
# **Density**: 11.47 g/cm³
data_BeOsRu
_chemical_formula_sum 'Be4 Os4 Ru4'
_symmetry_space_group_name_H-M 'F -4 3 m'
_symmetry_Int_Tables_number 216
_symmetry_space_group_name_Hall 'F -4 2 3'
_cell_length_a 5.581
_cell_length_b 5.581
_cell_length_c 5.581
_cell_angle_alpha 90.00
_cell_angle_beta 90.00
_cell_angle_gamma 90.00
loop_
_atom_site_label
_atom_site_type_symbol
_atom_site_fract_x
_atom_site_fract_y
_atom_site_fract_z
Be1 Be 0.000 0.000 0.000
Os1 Os 0.250 0.250 0.250
Ru1 Ru 0.000 0.000 0.500

---

[4]
# Zr2H2Pt | Alexandria | GGA-PBEsol | relaxed
# **Total DFT energy (no corrections)**: -7.0903 eV per atom
# **Fermi-level density of states**: 6.7 states/eV per cell
# **Total magnetic moment**: 0.0 Bohr magnetons per cell
# **Crystal system**: tetragonal
# **Density**: 10.03 g/cm³
data_Zr2H2Pt
_chemical_formula_sum 'Zr4 H4 Pt2'
_symmetry_space_group_name_H-M 'I 4/m m m'
_symmetry_Int_Tables_number 139
_symmetry_space_group_name_Hall '-I 4 2'
_cell_length_a 3.203
_cell_length_b 3.203
_cell_length_c 12.242
_cell_angle_alpha 90.00
_cell_angle_beta 90.00
_cell_angle_gamma 90.00
loop_
_atom_site_label
_atom_site_type_symbol
_atom_site_fract_x
_atom_site_fract_y
_atom_site_fract_z
Zr1 Zr 0.000 0.000 0.141
H1 H 0.000 0.500 0.250
Pt1 Pt 0.000 0.000 0.500

---

[5]
# RbZr2GeC | Alexandria | GGA-PBEsol | relaxed
# **Total DFT energy (no corrections)**: -3.4811 eV per atom
# **Fermi-level density of states**: 6.4 states/eV per cell
# **Total magnetic moment**: 0.8 Bohr magnetons per cell
# **Crystal system**: tetragonal
# **Density**: 4.76 g/cm³
data_RbZr2GeC
_chemical_formula_sum 'Rb1 Zr2 Ge1 C1'
_symmetry_space_group_name_H-M 'P 4/m m m'
_symmetry_Int_Tables_number 123
_symmetry_space_group_name_Hall '-P 4 2'
_cell_length_a 4.919
_cell_length_b 4.919
_cell_length_c 5.084
_cell_angle_alpha 90.00
_cell_angle_beta 90.00
_cell_angle_gamma 90.00
loop_
_atom_site_label
_atom_site_type_symbol
_atom_site_fract_x
_atom_site_fract_y
_atom_site_fract_z
Rb1 Rb 0.000 0.000 0.000
Zr1 Zr 0.000 0.500 0.000
Ge1 Ge 0.000 0.000 0.500
C1 C 0.500 0.500 0.500

---

[6]
# Fe2RhW | Alexandria | GGA-PBEsol | relaxed
# **Offset from the most stable computed form**: 133 meV per atom
# **Fermi-level density of states**: 9.6 states/eV per cell
# **Total magnetic moment**: 0.0 Bohr magnetons per cell
# **Crystal system**: orthorhombic
# **Density**: 13.51 g/cm³
data_Fe2RhW
_chemical_formula_sum 'Fe4 Rh2 W2'
_symmetry_space_group_name_H-M 'C m m m'
_symmetry_Int_Tables_number 65
_symmetry_space_group_name_Hall '-C 2 2'
_cell_length_a 5.243
_cell_length_b 7.073
_cell_length_c 2.641
_cell_angle_alpha 90.00
_cell_angle_beta 90.00
_cell_angle_gamma 90.00
loop_
_atom_site_label
_atom_site_type_symbol
_atom_site_fract_x
_atom_site_fract_y
_atom_site_fract_z
Fe1 Fe 0.250 0.250 0.000
Rh1 Rh 0.000 0.000 0.500
W1 W 0.000 0.500 0.500

---

[7]
# LaCuSe3 | Alexandria | GGA-PBEsol | relaxed
# **Offset from the most stable computed form**: 0 meV per atom
# **Fermi-level density of states**: 3.1 states/eV per cell
# **Total magnetic moment**: 0.0 Bohr magnetons per cell
# **Crystal system**: cubic
# **ΔE_f (raw)**: -412 kJ/mol of formula units
# **Density**: 6.71 g/cm³
data_LaCuSe3
_chemical_formula_sum 'La1 Cu1 Se3'
_symmetry_space_group_name_H-M 'P m -3 m'
_symmetry_Int_Tables_number 221
_symmetry_space_group_name_Hall '-P 4 2 3'
_cell_length_a 4.773
_cell_length_b 4.773
_cell_length_c 4.773
_cell_angle_alpha 90.00
_cell_angle_beta 90.00
_cell_angle_gamma 90.00
loop_
_atom_site_label
_atom_site_type_symbol
_atom_site_fract_x
_atom_site_fract_y
_atom_site_fract_z
La1 La 0.000 0.000 0.000
Cu1 Cu 0.500 0.500 0.500
Se1 Se 0.000 0.500 0.500

---

[8]
# PrZn5 | Alexandria | GGA-PBEsol | relaxed
# **Total DFT energy (no corrections)**: -2.4997 eV per atom
# **Fermi-level density of states**: 2.2 states/eV per cell
# **Total magnetic moment**: 0.0 Bohr magnetons per cell
# **Crystal system**: hexagonal
# **Density**: 7.62 g/cm³
data_PrZn5
_chemical_formula_sum 'Pr1 Zn5'
_symmetry_space_group_name_H-M 'P 6/m m m'
_symmetry_Int_Tables_number 191
_symmetry_space_group_name_Hall '-P 6 2'
_cell_length_a 5.3076
_cell_length_b 5.3076
_cell_length_c 4.1813
_cell_angle_alpha 90.00
_cell_angle_beta 90.00
_cell_angle_gamma 120.00
loop_
_atom_site_label
_atom_site_type_symbol
_atom_site_fract_x
_atom_site_fract_y
_atom_site_fract_z
Pr1 Pr 0.0000 0.0000 0.0000
Zn1 Zn 0.0000 0.5000 0.5000
Zn2 Zn 0.3333 0.6667 0.0000

---

[9]
# Sc2BeZn | Alexandria | GGA-PBEsol | relaxed
# **Offset from the most stable computed form**: 18 meV per atom
# **Fermi-level density of states**: 14.0 states/eV per cell
# **Total magnetic moment**: 0.0 Bohr magnetons per cell
# **Crystal system**: cubic
# **Density**: 4.04 g/cm³
data_Sc2BeZn
_chemical_formula_sum 'Sc8 Be4 Zn4'
_symmetry_space_group_name_H-M 'F m -3 m'
_symmetry_Int_Tables_number 225
_symmetry_space_group_name_Hall '-F 4 2 3'
_cell_length_a 6.462
_cell_length_b 6.462
_cell_length_c 6.462
_cell_angle_alpha 90.00
_cell_angle_beta 90.00
_cell_angle_gamma 90.00
loop_
_atom_site_label
_atom_site_type_symbol
_atom_site_fract_x
_atom_site_fract_y
_atom_site_fract_z
Sc1 Sc 0.250 0.250 0.250
Be1 Be 0.000 0.000 0.000
Zn1 Zn 0.000 0.000 0.500

---

[10]
# ReRh | Alexandria | GGA-PBEsol | relaxed
# **Offset from the most stable computed form**: 754 meV per atom
# **Fermi-level density of states**: 3.0 states/eV per cell
# **Total magnetic moment**: 0.0 Bohr magnetons per cell
# **Crystal system**: cubic
# **Density**: 16.79 g/cm³
data_ReRh
_chemical_formula_sum 'Re1 Rh1'
_symmetry_space_group_name_H-M 'P m -3 m'
_symmetry_Int_Tables_number 221
_symmetry_space_group_name_Hall '-P 4 2 3'
_cell_length_a 3.058
_cell_length_b 3.058
_cell_length_c 3.058
_cell_angle_alpha 90.00
_cell_angle_beta 90.00
_cell_angle_gamma 90.00
loop_
_atom_site_label
_atom_site_type_symbol
_atom_site_fract_x
_atom_site_fract_y
_atom_site_fract_z
Re1 Re 0.000 0.000 0.000
Rh1 Rh 0.500 0.500 0.500

---

[11]
# ZrNi2Ru | Alexandria | GGA-PBEsol | relaxed
# **Total DFT energy (no corrections)**: -8.1716 eV per atom
# **Fermi-level density of states**: 9.7 states/eV per cell
# **Total magnetic moment**: 0.0 Bohr magnetons per cell
# **Crystal system**: tetragonal
# **Density**: 9.56 g/cm³
data_ZrNi2Ru
_chemical_formula_sum 'Zr2 Ni4 Ru2'
_symmetry_space_group_name_H-M 'I 4/m m m'
_symmetry_Int_Tables_number 139
_symmetry_space_group_name_Hall '-I 4 2'
_cell_length_a 3.789
_cell_length_b 3.789
_cell_length_c 7.498
_cell_angle_alpha 90.00
_cell_angle_beta 90.00
_cell_angle_gamma 90.00
loop_
_atom_site_label
_atom_site_type_symbol
_atom_site_fract_x
_atom_site_fract_y
_atom_site_fract_z
Zr1 Zr 0.000 0.000 0.000
Ni1 Ni 0.000 0.500 0.250
Ru1 Ru 0.000 0.000 0.500

---

[12]
# Li3La3Mo2O12 | Alexandria | GGA-PBEsol | relaxed
# **Fermi-level density of states**: 0.0 states/eV per cell
# **Total magnetic moment**: 0.0 Bohr magnetons per cell
# **Crystal system**: cubic
# **ΔE_f (raw)**: -5214 kJ/mol of formula units
# **Density**: 5.56 g/cm³
data_Li3La3Mo2O12
_chemical_formula_sum 'Li24 La24 Mo16 O96'
_symmetry_space_group_name_H-M 'I a -3 d'
_symmetry_Int_Tables_number 230
_symmetry_space_group_name_Hall '-I 4bd 2c 3'
_cell_length_a 12.522
_cell_length_b 12.522
_cell_length_c 12.522
_cell_angle_alpha 90.00
_cell_angle_beta 90.00
_cell_angle_gamma 90.00
loop_
_atom_site_label
_atom_site_type_symbol
_atom_site_fract_x
_atom_site_fract_y
_atom_site_fract_z
Li1 Li 0.000 0.250 0.375
La1 La 0.000 0.250 0.125
Mo1 Mo 0.000 0.000 0.000
O1 O 0.029 0.051 0.642